Density functional theory data (PBE) for a relaxed structure of Cd3GaPd12. Values from VASP.

Geometry as Quantum ESPRESSO input:
```
&SYSTEM
  ibrav = 0, nat = 16, ntyp = 3
/
ATOMIC_SPECIES
Cd 112.41 Cd.upf
Ga 69.72 Ga.upf
Pd 106.42 Pd.upf
CELL_PARAMETERS angstrom
4.026 0.000 0.000
0.000 4.026 0.000
0.000 0.000 15.834
ATOMIC_POSITIONS angstrom
Cd 0.000 0.000 0.000
Cd 0.000 0.000 4.036
Cd 0.000 0.000 11.798
Ga 0.000 0.000 7.917
Pd 0.000 2.013 2.015
Pd 0.000 2.013 6.070
Pd 0.000 2.013 9.765
Pd 0.000 2.013 13.820
Pd 2.013 0.000 2.015
Pd 2.013 0.000 6.070
Pd 2.013 0.000 9.765
Pd 2.013 0.000 13.820
Pd 2.013 2.013 0.000
Pd 2.013 2.013 4.031
Pd 2.013 2.013 7.917
Pd 2.013 2.013 11.803
```

Summary:
crystal system: tetragonal
ΔH_f (0 K): -0.285 eV per atom
space-group type: P4/mmm